Computed, not measured: crystalline Ge2SbMoPb at its relaxed geometry at the PBE level of DFT.

Results
Final energy in eV for the cell shown: -20.3
Theoretical density in g cm⁻³: 5.82
Magnetization in μB per formula unit: 4.05
Formation energy (no corrections) in eV per atom: 1.524
DOS(E_F) in states/eV per cell: 3.21

Structure (POSCAR):
```
Ge2SbMoPb
1.0
5.296 0.000 0.000
0.000 5.296 0.000
0.000 0.000 5.799
Ge Sb Mo Pb
2 1 1 1
Cartesian
0.000 2.648 0.000 Ge
2.648 0.000 0.000 Ge
0.000 0.000 0.000 Sb
2.648 2.648 2.900 Mo
0.000 0.000 2.900 Pb
```